1.
HfNi3Pb | GGA-PBE | optimized geometry

Cell: 4.6925 4.6925 4.6925 Å, 90.00 90.00 90.00°
Closest atoms and distances in Å follow each position.
Space group Pm-3m (No. 221)
Asymmetric unit:
Hf1 0.0000 0.0000 0.0000 (multiplicity 1)  6 Ni 2.35
Ni1 0.0000 0.0000 0.5000 (multiplicity 3)  2 Hf 2.35
Pb1 0.5000 0.5000 0.5000 (multiplicity 1)  12 Ni 3.32

Results
Calculated formation energy   858 meV/atom



2.
Pr2TlBr | GGA-PBE | optimized geometry

Cell: 3.6691 3.6691 8.5480 Å, 90.00 90.00 90.00°
Closest atoms and distances in Å follow each position.
Space group P4/mmm (No. 123)
Asymmetric unit:
Pr1 0.0000 0.0000 0.2456 (multiplicity 2)  4 Tl 3.34, 4 Br 3.39, 4 Pr 3.67
Tl1 0.5000 0.5000 0.0000 (multiplicity 1)  8 Pr 3.34, 4 Tl 3.67
Br1 0.5000 0.5000 0.5000 (multiplicity 1)  8 Pr 3.39, 4 Br 3.67

Results
Formation energy (no corrections)   -0.742 eV per atom



3.
PuTa4N8 | GGA-PBE | optimized geometry

Cell: 15.0211 3.1631 9.9706 Å, 90.00 130.97 90.00°
Closest atoms and distances in Å follow each position.
Space group Cm (No. 8)
Asymmetric unit:
Pu1 0.0000 0.0000 0.0000 (multiplicity 2)  5 N 2.25-2.36
Ta1 0.0193 0.0000 0.6877 (multiplicity 2)  4 N 1.99-2.17
Ta2 0.0270 0.5000 0.3698 (multiplicity 2)  6 N 2.05-2.15
Ta3 0.2306 0.0000 0.4050 (multiplicity 2)  4 N 1.97-2.10
Ta4 0.2333 0.5000 0.0563 (multiplicity 2)  5 N 1.95-2.15
N1 0.0064 0.5000 0.5551 (multiplicity 2)  3 Ta 1.99-2.06
N2 0.0185 0.5000 0.8545 (multiplicity 2)  2 Pu 2.28, 3 Ta 2.30-2.44
N3 0.0765 0.5000 0.2105 (multiplicity 2)  3 Ta 2.15-2.39, 2 Pu 2.25
N4 0.1419 0.0000 0.4916 (multiplicity 2)  3 Ta 2.01-2.05
N5 0.1940 0.0000 0.8908 (multiplicity 2)  3 Ta 2.00-2.07
N6 0.2060 0.0000 0.1716 (multiplicity 2)  3 Ta 2.10-2.15
N7 0.3302 0.5000 0.5333 (multiplicity 2)  3 Ta 1.97-2.17
N8 0.4044 0.5000 0.2089 (multiplicity 2)  3 Ta 1.95-2.14

Results
Formation energy (no corrections)   -0.891 eV per atom



4.
PmRe2B6 | GGA-PBE | optimized geometry

Cell: 3.1663 6.8225 8.6390 Å, 90.00 90.00 90.00°
Closest atoms and distances in Å follow each position.
Space group Immm (No. 71)
Asymmetric unit:
Pm1 0.0000 0.0000 0.0000 (multiplicity 2)  16 B 2.83-3.15, 2 Pm 3.17
Re1 0.0000 0.5000 0.1599 (multiplicity 4)  10 B 2.18-2.35
B1 0.0000 0.1554 0.5000 (multiplicity 4)  2 B 1.75
B2 0.0000 0.2430 0.3094 (multiplicity 8)  3 B 1.75-1.89

Results
Calculated formation energy   -387 meV/atom



5.
TcPNF2 | GGA-PBE | optimized geometry

Cell: 4.5147 4.5147 3.3103 Å, 90.00 90.00 90.00°
Closest atoms and distances in Å follow each position.
Space group P4/mmm (No. 123)
Asymmetric unit:
Tc1 0.0000 0.0000 0.0000 (multiplicity 1)  8 F 2.80
P1 0.5000 0.5000 0.5000 (multiplicity 1)  2 N 1.66
N1 0.5000 0.5000 0.0000 (multiplicity 1)  2 P 1.66
F1 0.0000 0.5000 0.5000 (multiplicity 2)  2 P 2.26

Results
Formation energy (no corrections)   0.174 eV per atom



6.
CrCoAs6 | GGA-PBE | optimized geometry

Cell: 7.1802 8.2916 5.5699 Å, 90.00 90.72 90.00°
Closest atoms and distances in Å follow each position.
Space group C2 (No. 5)
Asymmetric unit:
Cr1 0.0000 0.0000 0.0000 (multiplicity 2)  6 As 2.33-2.47
Co1 0.0000 0.9946 0.5000 (multiplicity 2)  6 As 2.33-2.46
As1 0.0032 0.2427 0.2581 (multiplicity 4)  1 Co 2.46, 1 Cr 2.47, 3 As 2.56-2.70
As2 0.1577 0.8180 0.2472 (multiplicity 4)  1 Cr 2.33, 1 Co 2.33, 1 As 2.56
As3 0.2223 0.5029 0.2538 (multiplicity 4)  1 Co 2.41, 1 Cr 2.46, 2 As 2.65-2.67

Results
Calculated formation energy   44 meV/atom